(1)
First-principles (GGA-PBEsol) data for a geometry-optimized LaAg2P structure, as listed in Alexandria.

## Properties
The energy of formation from the pure elements is -0.3625 eV per atom. The total energy is -76.84 eV/cell.

Cell lengths 6.889, 6.889, 6.889 Å; angles 90.00, 90.00, 90.00 degrees
Space group F-43m (No. 216)
One atom of each set of equivalent atoms:
1 La 0.000 0.000 0.000 x4
2 Ag 0.000 0.000 0.500 x4
3 Ag 0.250 0.250 0.250 x4
4 P 0.250 0.250 0.750 x4

(2)
First-principles (GGA-PBEsol) data for a geometry-optimized LaAgPb2 structure, as listed in Alexandria.

## Properties
The energy of formation from the pure elements is -0.3710 eV per atom. The total energy is -18.14 eV/cell.

Cell lengths 4.782, 4.782, 4.582 Å; angles 90.00, 90.00, 90.00 degrees
Space group P4/mmm (No. 123)
One atom of each set of equivalent atoms:
1 La 0.000 0.000 0.000 x1
2 Ag 0.500 0.500 0.000 x1
3 Pb 0.000 0.500 0.500 x2

(3)
First-principles (GGA-PBEsol) data for a geometry-optimized La2AgPb structure, as listed in Alexandria.

## Properties
The energy of formation from the pure elements is -0.4082 eV per atom. The total energy is -19.64 eV/cell.

Cell lengths 3.485, 4.267, 7.546 Å; angles 90.00, 90.00, 90.00 degrees
Space group Pmmm (No. 47)
One atom of each set of equivalent atoms:
1 La 0.000 0.000 0.239 x2
2 Ag 0.500 0.500 0.000 x1
3 Pb 0.500 0.500 0.500 x1

(4)
First-principles (GGA-PBEsol) data for a geometry-optimized La2AgPb structure, as listed in Alexandria.

## Properties
The energy of formation from the pure elements is -0.4088 eV per atom. The total energy is -19.64 eV/cell.

Cell lengths 4.068, 5.121, 5.384 Å; angles 90.00, 90.06, 90.00 degrees
Space group Pm (No. 6)
One atom of each set of equivalent atoms:
1 La 0.000 0.000 0.000 x1
2 La 0.002 0.500 0.580 x1
3 Ag 0.501 0.000 0.477 x1
4 Pb 0.501 0.500 0.095 x1

(5)
First-principles (GGA-PBEsol) data for a geometry-optimized La2AgPd2 structure, as listed in Alexandria.

## Properties
The energy of formation from the pure elements is -0.6505 eV per atom. The total energy is -58.35 eV/cell.

Cell lengths 7.646, 7.646, 3.949 Å; angles 90.00, 90.00, 90.00 degrees
Space group P4/mbm (No. 127)
One atom of each set of equivalent atoms:
1 La 0.174 0.326 0.000 x4
2 Ag 0.000 0.000 0.500 x2
3 Pd 0.130 0.630 0.500 x4

(6)
First-principles (GGA-PBEsol) data for a geometry-optimized LaAg3Pt structure, as listed in Alexandria.

## Properties
The energy of formation from the pure elements is 1.7029 eV per atom. The total energy is -13.73 eV/cell.

Cell lengths 5.241, 5.241, 5.241 Å; angles 90.00, 90.00, 90.00 degrees
Space group Pm-3m (No. 221)
One atom of each set of equivalent atoms:
1 La 0.000 0.000 0.000 x1
2 Ag 0.000 0.000 0.500 x3
3 Pt 0.500 0.500 0.500 x1

(7)
First-principles (GGA-PBEsol) data for a geometry-optimized La2AgPt structure, as listed in Alexandria.

## Properties
The energy of formation from the pure elements is -0.6005 eV per atom. The total energy is -23.37 eV/cell.

Cell lengths 5.175, 5.175, 3.667 Å; angles 90.00, 90.00, 90.00 degrees
Space group P4/mmm (No. 123)
One atom of each set of equivalent atoms:
1 La 0.000 0.500 0.000 x2
2 Ag 0.000 0.000 0.500 x1
3 Pt 0.500 0.500 0.500 x1

(8)
First-principles (GGA-PBEsol) data for a geometry-optimized La2AgPt structure, as listed in Alexandria.

## Properties
The energy of formation from the pure elements is -0.6224 eV per atom. The total energy is -23.46 eV/cell.

Cell lengths 3.652, 3.652, 7.439 Å; angles 90.00, 90.00, 90.00 degrees
Space group P4/mmm (No. 123)
One atom of each set of equivalent atoms:
1 La 0.000 0.000 0.231 x2
2 Ag 0.500 0.500 0.500 x1
3 Pt 0.500 0.500 0.000 x1

(9)
First-principles (GGA-PBEsol) data for a geometry-optimized La2AgPt structure, as listed in Alexandria.

## Properties
The energy of formation from the pure elements is -0.5856 eV per atom. The total energy is -69.93 eV/cell.

Cell lengths 4.2100, 4.2100, 21.8525 Å; angles 90.00, 90.00, 120.00 degrees
Space group R-3m (No. 166, hexagonal axes)
One atom of each set of equivalent atoms:
1 La 0.0000 0.0000 0.2416 x6
2 Ag 0.0000 0.0000 0.0000 x3
3 Pt 0.0000 0.0000 0.5000 x3

(10)
First-principles (GGA-PBEsol) data for a geometry-optimized La2AgPt structure, as listed in Alexandria.

## Properties
The energy of formation from the pure elements is -0.6516 eV per atom. The total energy is -47.15 eV/cell.

Cell lengths 4.637, 3.985, 11.090 Å; angles 90.00, 90.00, 90.00 degrees
Space group Amm2 (No. 38)
One atom of each set of equivalent atoms:
1 La 0.000 0.000 0.000 x2
2 La 0.500 0.000 0.274 x2
3 Ag 0.000 0.000 0.717 x2
4 Pt 0.500 0.000 0.549 x2

(11)
First-principles (GGA-PBEsol) data for a geometry-optimized RbLa2AgS structure, as listed in Alexandria.

## Properties
The total energy is -17.95 eV/cell. The uncorrected formation energy comes out at 0.2931 eV/atom.

Cell lengths 5.809, 5.809, 5.119 Å; angles 90.00, 90.00, 90.00 degrees
Space group P4/mmm (No. 123)
One atom of each set of equivalent atoms:
1 Rb 0.000 0.000 0.000 x1
2 La 0.000 0.500 0.500 x2
3 Ag 0.500 0.500 0.500 x1
4 S 0.500 0.500 0.000 x1

(12)
First-principles (GGA-PBEsol) data for a geometry-optimized LaReAg2 structure, as listed in Alexandria.

## Properties
The energy of formation from the pure elements is 0.5335 eV per atom. The total energy is -46.33 eV/cell.

Cell lengths 9.863, 2.851, 5.492 Å; angles 90.00, 97.90, 90.00 degrees
Space group Cm (No. 8)
One atom of each set of equivalent atoms:
1 La 0.000 0.000 0.000 x2
2 Re 0.256 0.500 0.258 x2
3 Ag 0.240 0.000 0.704 x2
4 Ag 0.496 0.000 0.490 x2

(13)
First-principles (GGA-PBEsol) data for a geometry-optimized LaRe2Ag structure, as listed in Alexandria.

## Properties
The energy of formation from the pure elements is 0.7335 eV per atom. The total energy is -32.39 eV/cell.

Cell lengths 3.163, 4.679, 4.959 Å; angles 90.00, 90.00, 90.00 degrees
Space group Pmmm (No. 47)
One atom of each set of equivalent atoms:
1 La 0.000 0.000 0.000 x1
2 Re 0.000 0.500 0.500 x1
3 Re 0.500 0.000 0.500 x1
4 Ag 0.500 0.500 0.000 x1

(14)
First-principles (GGA-PBEsol) data for a geometry-optimized LaReAg2 structure, as listed in Alexandria.

## Properties
The energy of formation from the pure elements is 0.5057 eV per atom. The total energy is -23.28 eV/cell.

Cell lengths 2.856, 4.570, 5.789 Å; angles 90.00, 90.00, 90.00 degrees
Space group Pmmm (No. 47)
One atom of each set of equivalent atoms:
1 La 0.000 0.000 0.000 x1
2 Re 0.000 0.000 0.500 x1
3 Ag 0.500 0.500 0.276 x2

(15)
First-principles (GGA-PBEsol) data for a geometry-optimized LaRe2Ag structure, as listed in Alexandria.

## Properties
The energy of formation from the pure elements is 0.7189 eV per atom. The total energy is -32.45 eV/cell.

Cell lengths 3.004, 5.025, 4.908 Å; angles 90.00, 92.11, 90.00 degrees
Space group P2/m (No. 10)
One atom of each set of equivalent atoms:
1 La 0.000 0.000 0.000 x1
2 Re 0.314 0.500 0.762 x2
3 Ag 0.500 0.000 0.500 x1

(16)
First-principles (GGA-PBEsol) data for a geometry-optimized LaReAg3 structure, as listed in Alexandria.

## Properties
The energy of formation from the pure elements is 2.2782 eV per atom. The total energy is -17.22 eV/cell.

Cell lengths 5.326, 5.326, 5.326 Å; angles 90.00, 90.00, 90.00 degrees
Space group Pm-3m (No. 221)
One atom of each set of equivalent atoms:
1 La 0.000 0.000 0.000 x1
2 Re 0.500 0.500 0.500 x1
3 Ag 0.000 0.000 0.500 x3

(17)
First-principles (GGA-PBEsol) data for a geometry-optimized LaReAg structure, as listed in Alexandria.

## Properties
The energy of formation from the pure elements is 0.6134 eV per atom. The total energy is -20.15 eV/cell.

Cell lengths 4.9860, 4.9860, 2.8078 Å; angles 90.00, 90.00, 120.00 degrees
Space group P3m1 (No. 156)
One atom of each set of equivalent atoms:
1 La 0.0000 0.0000 0.0000 x1
2 Re 0.3333 0.6667 0.4978 x1
3 Ag 0.6667 0.3333 0.5028 x1

(18)
First-principles (GGA-PBEsol) data for a geometry-optimized LaAg2Rh structure, as listed in Alexandria.

## Properties
The energy of formation from the pure elements is 0.3356 eV per atom. The total energy is -56.29 eV/cell.

Cell lengths 2.9435, 2.9435, 29.9988 Å; angles 90.00, 90.00, 120.00 degrees
Space group R-3m (No. 166, hexagonal axes)
One atom of each set of equivalent atoms:
1 La 0.0000 0.0000 0.0000 x3
2 Ag 0.0000 0.0000 0.2396 x6
3 Rh 0.0000 0.0000 0.5000 x3

(19)
First-principles (GGA-PBEsol) data for a geometry-optimized LaAg2Rh structure, as listed in Alexandria.

## Properties
The energy of formation from the pure elements is -0.2713 eV per atom. The total energy is -21.19 eV/cell.

Cell lengths 4.002, 4.002, 4.777 Å; angles 90.00, 90.00, 90.00 degrees
Space group P4/mmm (No. 123)
One atom of each set of equivalent atoms:
1 La 0.000 0.000 0.000 x1
2 Ag 0.000 0.500 0.500 x2
3 Rh 0.500 0.500 0.000 x1

(20)
First-principles (GGA-PBEsol) data for a geometry-optimized LaAgRh2 structure, as listed in Alexandria.

## Properties
The energy of formation from the pure elements is -0.1827 eV per atom. The total energy is -25.67 eV/cell.

Cell lengths 3.984, 4.200, 5.135 Å; angles 66.47, 67.25, 90.00 degrees
Space group P1 (No. 1)
One atom of each set of equivalent atoms:
1 La 0.000 0.000 0.000 x1
2 Ag 0.244 0.729 0.515 x1
3 Rh 0.488 0.495 0.025 x1
4 Rh 0.747 0.224 0.509 x1

(21)
First-principles (GGA-PBEsol) data for a geometry-optimized LaAgRh2 structure, as listed in Alexandria.

## Properties
The energy of formation from the pure elements is -0.2882 eV per atom. The total energy is -26.09 eV/cell.

Cell lengths 4.281, 4.281, 3.871 Å; angles 90.00, 90.00, 90.00 degrees
Space group P4/mmm (No. 123)
One atom of each set of equivalent atoms:
1 La 0.000 0.000 0.000 x1
2 Ag 0.500 0.500 0.000 x1
3 Rh 0.000 0.500 0.500 x2

(22)
First-principles (GGA-PBEsol) data for a geometry-optimized LaAg2Rh structure, as listed in Alexandria.

## Properties
The energy of formation from the pure elements is -0.3514 eV per atom. The total energy is -43.03 eV/cell.

Cell lengths 3.985, 3.985, 9.597 Å; angles 90.00, 90.00, 90.00 degrees
Space group I4/mmm (No. 139)
One atom of each set of equivalent atoms:
1 La 0.000 0.000 0.000 x2
2 Ag 0.000 0.500 0.250 x4
3 Rh 0.000 0.000 0.500 x2

(23)
First-principles (GGA-PBEsol) data for a geometry-optimized LaAgRh2 structure, as listed in Alexandria.

## Properties
The energy of formation from the pure elements is -0.0338 eV per atom. The total energy is -25.07 eV/cell.

Cell lengths 3.578, 3.578, 5.736 Å; angles 90.00, 90.00, 90.00 degrees
Space group P4mm (No. 99)
One atom of each set of equivalent atoms:
1 La 0.000 0.000 0.000 x1
2 Ag 0.500 0.500 0.677 x1
3 Rh 0.000 0.000 0.460 x1
4 Rh 0.500 0.500 0.213 x1

(24)
First-principles (GGA-PBEsol) data for a geometry-optimized LaAg2Ru structure, as listed in Alexandria.

## Properties
The energy of formation from the pure elements is 0.2221 eV per atom. The total energy is -85.01 eV/cell.

Cell lengths 6.762, 6.762, 6.762 Å; angles 90.00, 90.00, 90.00 degrees
Space group F-43m (No. 216)
One atom of each set of equivalent atoms:
1 La 0.000 0.000 0.000 x4
2 Ag 0.000 0.000 0.500 x4
3 Ag 0.250 0.250 0.250 x4
4 Ru 0.250 0.250 0.750 x4

(25)
First-principles (GGA-PBEsol) data for a geometry-optimized La2AgRu structure, as listed in Alexandria.

## Properties
The energy of formation from the pure elements is -0.1387 eV per atom. The total energy is -98.92 eV/cell.

Cell lengths 7.219, 7.219, 7.219 Å; angles 90.00, 90.00, 90.00 degrees
Space group Fm-3m (No. 225)
One atom of each set of equivalent atoms:
1 La 0.250 0.250 0.250 x8
2 Ag 0.000 0.000 0.000 x4
3 Ru 0.000 0.000 0.500 x4

(26)
First-principles (GGA-PBEsol) data for a geometry-optimized La2AgRu structure, as listed in Alexandria.

## Properties
The energy of formation from the pure elements is -0.0820 eV per atom. The total energy is -73.51 eV/cell.

Cell lengths 4.0519, 4.0519, 22.5217 Å; angles 90.00, 90.00, 120.00 degrees
Space group R-3m (No. 166, hexagonal axes)
One atom of each set of equivalent atoms:
1 La 0.0000 0.0000 0.2356 x6
2 Ag 0.0000 0.0000 0.0000 x3
3 Ru 0.0000 0.0000 0.5000 x3

(27)
First-principles (GGA-PBEsol) data for a geometry-optimized LaAgRu structure, as listed in Alexandria.

## Properties
The energy of formation from the pure elements is 0.1998 eV per atom. The total energy is -18.23 eV/cell.

Cell lengths 4.5467, 4.5467, 3.3465 Å; angles 90.00, 90.00, 120.00 degrees
Space group P-6m2 (No. 187)
One atom of each set of equivalent atoms:
1 La 0.0000 0.0000 0.0000 x1
2 Ag 0.6667 0.3333 0.5000 x1
3 Ru 0.3333 0.6667 0.0000 x1

(28)
First-principles (GGA-PBEsol) data for a geometry-optimized La2AgRu structure, as listed in Alexandria.

## Properties
The energy of formation from the pure elements is -0.1925 eV per atom. The total energy is -24.95 eV/cell.

Cell lengths 3.475, 3.475, 7.849 Å; angles 90.00, 90.00, 90.00 degrees
Space group P4/mmm (No. 123)
One atom of each set of equivalent atoms:
1 La 0.000 0.000 0.222 x2
2 Ag 0.500 0.500 0.500 x1
3 Ru 0.500 0.500 0.000 x1

(29)
First-principles (GGA-PBEsol) data for a geometry-optimized La2AgRu structure, as listed in Alexandria.

## Properties
The energy of formation from the pure elements is 0.1077 eV per atom. The total energy is -23.75 eV/cell.

Cell lengths 3.626, 3.626, 6.663 Å; angles 90.00, 90.00, 90.00 degrees
Space group P4mm (No. 99)
One atom of each set of equivalent atoms:
1 La 0.000 0.000 0.000 x1
2 La 0.500 0.500 0.317 x1
3 Ag 0.500 0.500 0.753 x1
4 Ru 0.000 0.000 0.540 x1

(30)
First-principles (GGA-PBEsol) data for a geometry-optimized La2AgRu structure, as listed in Alexandria.

## Properties
The energy of formation from the pure elements is -0.1779 eV per atom. The total energy is -49.78 eV/cell.

Cell lengths 4.251, 4.218, 11.043 Å; angles 90.00, 90.00, 90.00 degrees
Space group Amm2 (No. 38)
One atom of each set of equivalent atoms:
1 La 0.000 0.000 0.000 x2
2 La 0.500 0.000 0.295 x2
3 Ag 0.500 0.000 0.591 x2
4 Ru 0.000 0.000 0.782 x2